[1]
## CdNiPb2 (PBE)

Data for a geometry-optimized CdNiPb2 structure.

```
CdNiPb2
1.0
-1.618 2.260 6.590
1.618 -2.260 6.590
1.618 2.260 -6.590
Pb Ni Cd
2 1 1
direct
0.935 0.935 0.000
0.242 0.742 0.500
0.750 0.250 0.500
0.572 0.572 0.000
```

Summary:
space-group type: Imm2 (44)
formation enthalpy at 0 K: 14.64 kJ/mol of atoms
ρ: 10.1 g/cm³

[2]
## BeBP (PBE)

Data for a geometry-optimized BeBP structure.

```
BeBP
1.0
-3.239 -0.738 0.454
1.553 -2.840 -1.273
1.726 -0.234 6.094
P Be B
2 2 2
direct
0.717 0.480 0.739
0.380 0.119 0.178
0.786 0.807 0.276
0.289 0.509 0.955
0.824 0.919 0.585
0.346 0.013 0.489
```

Summary:
space-group type: P1 (1)
formation enthalpy at 0 K: 7.96 kJ/mol of atoms
ρ: 2.5 g/cm³

[3]
## NpGeRh3 (PBE)

Data for a geometry-optimized NpGeRh3 structure.

```
NpGeRh3
1.0
6.146 1.256 -0.127
-1.846 5.995 0.127
-3.295 -2.947 4.453
Rh Np Ge
6 2 2
direct
0.000 0.692 0.192
0.000 0.308 0.808
0.309 0.059 0.750
0.500 0.308 0.308
0.500 0.692 0.692
0.691 0.941 0.250
0.008 0.258 0.250
0.992 0.742 0.750
0.500 0.500 0.000
0.500 0.000 0.500
```

Summary:
space-group type: Imma (74)
formation enthalpy at 0 K: -37.07 kJ/mol of atoms
ρ: 11.9 g/cm³

[4]
## Ca2LaMnTl (PBE)

Data for a geometry-optimized Ca2LaMnTl structure.

```
Ca2LaMnTl
1.0
5.904 0.000 0.000
0.000 5.850 0.000
0.000 0.000 5.904
La Tl Ca Mn
1 1 2 1
direct
0.000 0.000 0.000
0.000 0.500 0.000
0.000 0.000 0.500
0.500 0.000 0.000
0.500 0.500 0.500
```

Summary:
space-group type: P4/mmm (123)
formation enthalpy at 0 K: 164.30 kJ/mol of atoms
ρ: 3.9 g/cm³

[5]
## CrTc2Br (PBE)

Data for a geometry-optimized CrTc2Br structure.

```
CrTc2Br
1.0
4.425 0.004 0.000
-0.005 4.425 0.000
0.000 0.000 3.009
Tc Br Cr
2 1 1
direct
0.500 0.500 0.000
0.000 0.000 0.000
0.500 0.000 0.500
0.000 0.500 0.500
```

Summary:
space-group type: P4/mmm (123)
E_tot: -7.24 eV per atom
ρ: 9.2 g/cm³

[6]
## CoAg2Au2 (PBE)

Data for a geometry-optimized CoAg2Au2 structure.

```
CoAg2Au2
1.0
6.626 0.000 0.000
0.000 6.626 0.000
0.000 0.000 4.198
Ag Au Co
4 4 2
direct
0.338 0.162 0.500
0.662 0.838 0.500
0.162 0.662 0.500
0.838 0.338 0.500
0.355 0.855 0.000
0.855 0.645 0.000
0.145 0.355 0.000
0.645 0.145 0.000
0.000 0.000 0.000
0.500 0.500 0.000
```

Summary:
space-group type: P4/mbm (127)
formation enthalpy at 0 K: 32.66 kJ/mol of atoms
ρ: 12.0 g/cm³

[7]
## KTcRh2 (PBE)

Data for a geometry-optimized KTcRh2 structure.

```
KTcRh2
1.0
2.856 0.000 0.000
0.000 2.853 0.144
0.000 2.405 8.994
K Tc Rh
1 1 2
direct
0.500 0.750 0.750
0.500 0.250 0.250
0.000 0.557 0.443
0.000 0.943 0.057
```

Summary:
space-group type: P4/mmm (123)
formation enthalpy at 0 K: 32.14 kJ/mol of atoms
ρ: 7.9 g/cm³

[8]
## TaVN2 (PBE)

Data for a geometry-optimized TaVN2 structure.

```
TaVN2
1.0
2.878 0.000 0.000
1.439 2.493 0.000
1.439 0.831 5.490
N Ta V
2 1 1
direct
0.089 0.089 0.732
0.245 0.245 0.266
0.667 0.667 0.998
0.499 0.499 0.504
```

Summary:
space-group type: R3m (160)
E_tot: -10.34 eV per atom
ρ: 11.0 g/cm³

[9]
## Ca3Sm3CuS8 (PBE)

Data for a geometry-optimized Ca3Sm3CuS8 structure.

```
Ca3Sm3CuS8
1.0
-3.552 7.016 -1.262
-3.945 -5.856 3.676
6.016 3.722 3.764
S Ca Cu Sm
8 3 1 3
direct
0.760 0.005 0.265
0.762 0.523 0.266
0.750 0.499 0.749
0.755 0.995 0.735
0.250 0.501 0.251
0.245 0.005 0.265
0.238 0.477 0.734
0.240 0.995 0.735
0.000 0.500 0.000
0.000 0.000 0.000
0.500 0.500 0.000
0.000 0.000 0.500
0.500 0.000 0.500
0.500 0.500 0.500
0.000 0.500 0.500
```

Summary:
space-group type: C2/m (12)
E_tot: -5.59 eV per atom
ρ: 4.1 g/cm³

[10]
## Er5ZnCd4 (PBE)

Data for a geometry-optimized Er5ZnCd4 structure.

```
Er5ZnCd4
1.0
3.659 0.000 0.000
0.000 3.659 0.000
0.000 0.000 18.577
Er Cd Zn
5 4 1
direct
0.500 0.500 0.909
0.500 0.500 0.500
0.500 0.500 0.704
0.500 0.500 0.296
0.500 0.500 0.091
0.000 0.000 0.806
0.000 0.000 0.398
0.000 0.000 0.602
0.000 0.000 0.194
0.000 0.000 0.000
```

Summary:
space-group type: P4/mmm (123)
formation enthalpy at 0 K: -30.77 kJ/mol of atoms
ρ: 9.0 g/cm³

[11]
## SmDy2Tm (PBE)

Data for a geometry-optimized SmDy2Tm structure.

```
SmDy2Tm
1.0
-1.803 2.759 -1.308
-2.997 -1.310 1.368
1.649 5.110 8.503
Dy Sm Tm
2 1 1
direct
0.000 0.000 0.755
0.000 0.000 0.245
0.500 0.500 0.500
0.500 0.500 0.000
```

Summary:
space-group type: P4/mmm (123)
formation enthalpy at 0 K: 2.14 kJ/mol of atoms
ρ: 8.5 g/cm³

[12]
## TaSb2Os (PBE)

Data for a geometry-optimized TaSb2Os structure.

```
TaSb2Os
1.0
3.309 0.000 0.000
0.000 4.739 0.000
0.000 0.000 4.739
Sb Os Ta
2 1 1
direct
0.000 0.000 0.000
0.000 0.500 0.500
0.500 0.000 0.500
0.500 0.500 0.000
```

Summary:
space-group type: P4/mmm (123)
E_tot: -7.52 eV per atom
ρ: 13.7 g/cm³

Number 1: density of states at the Fermi level 1.653 states/eV per cell. Number 2: density of states at the Fermi level 0.307 states/eV per cell. Number 3: density of states at the Fermi level 18.959 states/eV per cell. Number 4: density of states at the Fermi level 9.217 states/eV per cell. Number 5: density of states at the Fermi level 2.693 states/eV per cell. Number 6: density of states at the Fermi level 12.539 states/eV per cell. Number 7: density of states at the Fermi level 5.005 states/eV per cell. Number 8: density of states at the Fermi level 1.653 states/eV per cell. Number 9: density of states at the Fermi level 6.446 states/eV per cell. Number 10: density of states at the Fermi level 9.845 states/eV per cell. Number 11: density of states at the Fermi level 5.154 states/eV per cell. Number 12: density of states at the Fermi level 2.063 states/eV per cell.